DFT (PBE) results for crystalline BeV2Ga at its relaxed geometry.

Values from the calculation:
* formation enthalpy at 0 K: -157 meV per atom
* E above lowest polymorph: 0.0000 eV per atom
* total DFT energy (no corrections): -6.405 eV/atom

The structure in CIF format:
```
data_BeV2Ga
_chemical_formula_sum 'Be1 V2 Ga1'
_cell_length_a 3.5552
_cell_length_b 3.5552
_cell_length_c 3.9402
_cell_angle_alpha 90.00
_cell_angle_beta 90.00
_cell_angle_gamma 90.00
_space_group_name_H-M_alt 'P 4/m m m'
_space_group_IT_number 123
_space_group_name_Hall '-P 4 2'
loop_
_atom_site_label
_atom_site_type_symbol
_atom_site_fract_x
_atom_site_fract_y
_atom_site_fract_z
Be1 Be 0.0000 0.0000 0.0000
V1 V 0.0000 0.5000 0.5000
Ga1 Ga 0.5000 0.5000 0.0000
```